VASP calculation (PBE) on a relaxed structure of YBi4F2.

Summary:
DFT total energy: -3.974 eV/atom
space group: I4/mmm
raw formation energy: -6.9 kcal/mol of atoms
calculated volume: 32.0 A^3/atom

a b c (Å): 7.7789 7.7789 7.7789
angles (deg): 136.01 136.01 63.97
Fractional positions:
Y  0.0000  0.0000  0.0000
Bi  0.0000  0.5000  0.5000
Bi  0.2350  0.2350  0.0000
Bi  0.5000  0.0000  0.5000
Bi  0.7650  0.7650  0.0000
F  0.3968  0.3968  0.0000
F  0.6032  0.6032  0.0000


VASP calculation (PBE) on a relaxed structure of YBi3F.

Summary:
DFT total energy: -4.690 eV/atom
distance to the lowest polymorph of the same formula: 0.000 eV/atom
space group: Pm-3m
raw formation energy: -16.0 kcal/mol of atoms
calculated volume: 26.5 A^3/atom

a b c (Å): 5.0985 5.0985 5.0985
angles (deg): 90.00 90.00 90.00
Fractional positions:
Y  0.0000  0.0000  0.0000
Bi  0.0000  0.5000  0.5000
Bi  0.5000  0.0000  0.5000
Bi  0.5000  0.5000  0.0000
F  0.5000  0.5000  0.5000


VASP calculation (PBE) on a relaxed structure of YBi2F11.

Summary:
DFT total energy: -5.105 eV/atom
space group: Ibam
raw formation energy: -60.4 kcal/mol of atoms
calculated volume: 16.6 A^3/atom

a b c (Å): 8.5750 8.5750 8.5750
angles (deg): 122.64 106.00 100.66
Fractional positions:
Y  0.2500  0.2500  0.0000
Y  0.7500  0.7500  0.0000
Bi  0.1815  0.6454  0.8268
Bi  0.3185  0.1454  0.4639
Bi  0.6815  0.8546  0.5361
Bi  0.8185  0.3546  0.1732
F  0.0000  0.5000  0.5000
F  0.0341  0.9549  0.2767
F  0.0654  0.3529  0.1474
F  0.1782  0.4549  0.9208
F  0.2055  0.9180  0.8526
F  0.2139  0.3690  0.5829
F  0.2861  0.8690  0.1551
F  0.2945  0.1471  0.7125
F  0.3218  0.2426  0.2767
F  0.4346  0.5820  0.2875
F  0.4659  0.7426  0.9208
F  0.5000  0.0000  0.5000
F  0.5341  0.2574  0.0792
F  0.5654  0.4180  0.7125
F  0.6782  0.7574  0.7233
F  0.7055  0.8529  0.2875
F  0.7139  0.1310  0.8449
F  0.7861  0.6310  0.4171
F  0.7945  0.0820  0.1474
F  0.8218  0.5451  0.0792
F  0.9346  0.6471  0.8526
F  0.9659  0.0451  0.7233


VASP calculation (PBE) on a relaxed structure of Y3BiF.

Summary:
DFT total energy: -6.062 eV/atom
distance to the lowest polymorph of the same formula: 0.000 eV/atom
space group: Pm-3m
raw formation energy: -23.8 kcal/mol of atoms
calculated volume: 24.1 A^3/atom

a b c (Å): 4.9372 4.9372 4.9372
angles (deg): 90.00 90.00 90.00
Fractional positions:
Y  0.0000  0.0000  0.5000
Y  0.0000  0.5000  0.0000
Y  0.5000  0.0000  0.0000
Bi  0.5000  0.5000  0.5000
F  0.0000  0.0000  0.0000


VASP calculation (PBE) on a relaxed structure of Y2BiF.

Summary:
DFT total energy: -5.695 eV/atom
distance to the lowest polymorph of the same formula: 0.541 eV/atom
space group: R-3m
raw formation energy: -23.6 kcal/mol of atoms
calculated volume: 25.7 A^3/atom

a b c (Å): 9.8624 9.8624 9.8624
angles (deg): 20.49 20.49 20.49
Fractional positions:
Y  0.1071  0.1071  0.1071
Y  0.8929  0.8929  0.8929
Bi  0.0000  0.0000  0.0000
F  0.5000  0.5000  0.5000


VASP calculation (PBE) on a relaxed structure of YBi3F.

Summary:
DFT total energy: -3.928 eV/atom
distance to the lowest polymorph of the same formula: 0.762 eV/atom
space group: Pm-3m
raw formation energy: 1.6 kcal/mol of atoms
calculated volume: 39.8 A^3/atom

a b c (Å): 5.8405 5.8405 5.8405
angles (deg): 90.00 90.00 90.00
Fractional positions:
Y  0.0000  0.0000  0.0000
Bi  0.0000  0.0000  0.5000
Bi  0.0000  0.5000  0.0000
Bi  0.5000  0.0000  0.0000
F  0.5000  0.5000  0.5000


VASP calculation (PBE) on a relaxed structure of YBiF.

Summary:
DFT total energy: -6.132 eV/atom
space group: C2/m
raw formation energy: -47.5 kcal/mol of atoms
calculated volume: 24.1 A^3/atom

a b c (Å): 6.1767 6.1767 6.6451
angles (deg): 113.16 113.16 38.85
Fractional positions:
Y  0.1847  0.1847  0.2315
Y  0.8153  0.8153  0.7685
Bi  0.4591  0.4591  0.1996
Bi  0.5409  0.5409  0.8004
F  0.2253  0.2253  0.6022
F  0.7747  0.7747  0.3978


VASP calculation (PBE) on a relaxed structure of YBiF6.

Summary:
DFT total energy: -5.965 eV/atom
space group: R-3
raw formation energy: -75.4 kcal/mol of atoms
calculated volume: 22.3 A^3/atom

a b c (Å): 6.3347 6.3347 6.3347
angles (deg): 59.73 59.73 59.73
Fractional positions:
Y  0.0000  0.0000  0.0000
Bi  0.5000  0.5000  0.5000
F  0.2286  0.2621  0.7539
F  0.2461  0.7714  0.7379
F  0.2621  0.7539  0.2286
F  0.7379  0.2461  0.7714
F  0.7539  0.2286  0.2621
F  0.7714  0.7379  0.2461


Repeat the third record exactly.
VASP calculation (PBE) on a relaxed structure of YBi2F11.

Summary:
DFT total energy: -5.105 eV/atom
space group: Ibam
raw formation energy: -60.4 kcal/mol of atoms
calculated volume: 16.6 A^3/atom

a b c (Å): 8.5750 8.5750 8.5750
angles (deg): 122.64 106.00 100.66
Fractional positions:
Y  0.2500  0.2500  0.0000
Y  0.7500  0.7500  0.0000
Bi  0.1815  0.6454  0.8268
Bi  0.3185  0.1454  0.4639
Bi  0.6815  0.8546  0.5361
Bi  0.8185  0.3546  0.1732
F  0.0000  0.5000  0.5000
F  0.0341  0.9549  0.2767
F  0.0654  0.3529  0.1474
F  0.1782  0.4549  0.9208
F  0.2055  0.9180  0.8526
F  0.2139  0.3690  0.5829
F  0.2861  0.8690  0.1551
F  0.2945  0.1471  0.7125
F  0.3218  0.2426  0.2767
F  0.4346  0.5820  0.2875
F  0.4659  0.7426  0.9208
F  0.5000  0.0000  0.5000
F  0.5341  0.2574  0.0792
F  0.5654  0.4180  0.7125
F  0.6782  0.7574  0.7233
F  0.7055  0.8529  0.2875
F  0.7139  0.1310  0.8449
F  0.7861  0.6310  0.4171
F  0.7945  0.0820  0.1474
F  0.8218  0.5451  0.0792
F  0.9346  0.6471  0.8526
F  0.9659  0.0451  0.7233